# 1
## HfTlGa2 (GGA-PBE)

Data for a relaxed structure of HfTlGa2.

The structure belongs to space group Fm-3m (No. 225); the cell edges are 6.988, 6.988 and 6.988 Å and the angles 90.00°, 90.00° and 90.00°. The asymmetric unit holds Hf at (0.000, 0.000, 0.000), Tl at (0.000, 0.000, 0.500) and Ga at (0.250, 0.250, 0.250).

The calculation puts the density of states at the Fermi level at 10.15 states/eV/cell. As for the total energy: -0.3200 Ry/atom. Its energy above the most stable polymorph in this dataset is 0.17 eV per formula unit. Its total moment is 0.00 μB per cell.

---

# 2
## P3C (GGA-PBE)

Data for a relaxed structure of P3C.

The structure belongs to space group Im-3m (No. 229); the cell edges are 4.571, 4.571 and 4.571 Å and the angles 90.00°, 90.00° and 90.00°. The asymmetric unit holds P at (0.000, 0.000, 0.500) and C at (0.000, 0.000, 0.000).

The calculation puts the density of states at the Fermi level at 3.40 states/eV/cell. As for the total energy: -0.3996 Ry/atom. Its energy above the most stable polymorph in this dataset is 2.08 eV per formula unit. Its total moment is 0.00 μB per cell.

---

# 3
## PmTlCdSn (GGA-PBE)

Data for a relaxed structure of PmTlCdSn.

The structure belongs to space group Pmmm (No. 47); the cell edges are 4.555, 4.697 and 4.933 Å and the angles 90.00°, 90.00° and 90.00°. The asymmetric unit holds Pm at (0.000, 0.000, 0.000), Tl at (0.500, 0.000, 0.500), Cd at (0.000, 0.500, 0.500) and Sn at (0.500, 0.500, 0.000).

The calculation puts the density of states at the Fermi level at 1.83 states/eV/cell. As for the total energy: -0.2515 Ry/atom. Its energy above the most stable polymorph in this dataset is 0.00 eV per formula unit. Its total moment is 0.00 μB per cell.

---

# 4
## InMoRu2 (GGA-PBE)

Data for a relaxed structure of InMoRu2.

The structure belongs to space group P4/mmm (No. 123); the cell edges are 2.970, 2.970 and 7.236 Å and the angles 90.00°, 90.00° and 90.00°. The asymmetric unit holds In at (0.000, 0.000, 0.000), Mo at (0.000, 0.000, 0.500) and Ru at (0.500, 0.500, 0.269).

The calculation puts the density of states at the Fermi level at 3.22 states/eV/cell. As for the total energy: -0.5870 Ry/atom. Its total moment is 0.00 μB per cell.

---

Question: What is the total moment in the third record?
Answer: 0.00 μB per cell

---

Repeat the first record exactly.
## HfTlGa2 (GGA-PBE)

Data for a relaxed structure of HfTlGa2.

The structure belongs to space group Fm-3m (No. 225); the cell edges are 6.988, 6.988 and 6.988 Å and the angles 90.00°, 90.00° and 90.00°. The asymmetric unit holds Hf at (0.000, 0.000, 0.000), Tl at (0.000, 0.000, 0.500) and Ga at (0.250, 0.250, 0.250).

The calculation puts the density of states at the Fermi level at 10.15 states/eV/cell. As for the total energy: -0.3200 Ry/atom. Its energy above the most stable polymorph in this dataset is 0.17 eV per formula unit. Its total moment is 0.00 μB per cell.